# 1
# La2Ga3Ge PBE relaxed
data_La2Ga3Ge
_chemical_formula_sum 'La4 Ga6 Ge2'
_cell_length_a 8.6679
_cell_length_b 8.6061
_cell_length_c 6.1790
_cell_angle_alpha 69.58
_cell_angle_beta 68.51
_cell_angle_gamma 41.92
_space_group_name_H-M_alt 'P 1'
_space_group_IT_number 1
loop_
_space_group_symop_operation_xyz
'x,y,z'
loop_
_atom_site_label
_atom_site_type_symbol
_atom_site_fract_x
_atom_site_fract_y
_atom_site_fract_z
La1 La 0.2458 0.7542 0.2458
La2 La 0.2500 0.2500 0.2500
La3 La 0.7500 0.7500 0.7500
La4 La 0.7542 0.2458 0.7542
Ga1 Ga 0.1693 0.6644 0.8307
Ga2 Ga 0.3345 0.3345 0.6655
Ga3 Ga 0.3356 0.8307 0.6644
Ga4 Ga 0.6644 0.1693 0.3356
Ga5 Ga 0.6655 0.6655 0.3345
Ga6 Ga 0.8307 0.3356 0.1693
Ge1 Ge 0.1672 0.1672 0.8328
Ge2 Ge 0.8328 0.8328 0.1672
# formation enthalpy at 0 K = -0.74 eV/atom
# polymorph energy (0 for the lowest one) = 0.002 eV/atom


# 2
# Rb2MoH PBE relaxed
data_Rb2MoH
_chemical_formula_sum 'Rb8 Mo4 H4'
_cell_length_a 8.6562
_cell_length_b 8.6562
_cell_length_c 8.6562
_cell_angle_alpha 90.00
_cell_angle_beta 90.00
_cell_angle_gamma 90.00
_space_group_name_H-M_alt 'P 1'
_space_group_IT_number 1
loop_
_space_group_symop_operation_xyz
'x,y,z'
loop_
_atom_site_label
_atom_site_type_symbol
_atom_site_fract_x
_atom_site_fract_y
_atom_site_fract_z
Rb1 Rb 0.2500 0.2500 0.2500
Rb2 Rb 0.2500 0.2500 0.7500
Rb3 Rb 0.2500 0.7500 0.2500
Rb4 Rb 0.2500 0.7500 0.7500
Rb5 Rb 0.7500 0.2500 0.2500
Rb6 Rb 0.7500 0.2500 0.7500
Rb7 Rb 0.7500 0.7500 0.2500
Rb8 Rb 0.7500 0.7500 0.7500
Mo1 Mo 0.0000 0.0000 0.0000
Mo2 Mo 0.0000 0.5000 0.5000
Mo3 Mo 0.5000 0.0000 0.5000
Mo4 Mo 0.5000 0.5000 0.0000
H1 H 0.0000 0.0000 0.5000
H2 H 0.0000 0.5000 0.0000
H3 H 0.5000 0.0000 0.0000
H4 H 0.5000 0.5000 0.5000
# polymorph energy (0 for the lowest one) = 0.414 eV/atom


# 3
# Sc5Bi4N PBE relaxed
data_Sc5Bi4N
_chemical_formula_sum 'Sc5 Bi4 N1'
_cell_length_a 7.0332
_cell_length_b 7.0332
_cell_length_c 7.0332
_cell_angle_alpha 100.54
_cell_angle_beta 100.54
_cell_angle_gamma 129.35
_space_group_name_H-M_alt 'P 1'
_space_group_IT_number 1
loop_
_space_group_symop_operation_xyz
'x,y,z'
loop_
_atom_site_label
_atom_site_type_symbol
_atom_site_fract_x
_atom_site_fract_y
_atom_site_fract_z
Sc1 Sc 0.0000 0.0000 0.0000
Sc2 Sc 0.3584 0.6941 0.8623
Sc3 Sc 0.4961 0.3584 0.6642
Sc4 Sc 0.6941 0.8318 0.3358
Sc5 Sc 0.8318 0.4961 0.1377
Bi1 Bi 0.0205 0.7845 0.6092
Bi2 Bi 0.1753 0.4113 0.3908
Bi3 Bi 0.4113 0.0205 0.2360
Bi4 Bi 0.7845 0.1753 0.7640
N1 N 0.6493 0.6493 0.0000
# ΔE_f (raw) = -696 kJ/mol of formula units


# 4
# RbZnSn2 PBE relaxed
data_RbZnSn2
_chemical_formula_sum 'Rb4 Zn4 Sn8'
_cell_length_a 5.7737
_cell_length_b 5.7737
_cell_length_c 18.7561
_cell_angle_alpha 90.00
_cell_angle_beta 90.00
_cell_angle_gamma 90.00
_space_group_name_H-M_alt 'P 1'
_space_group_IT_number 1
loop_
_space_group_symop_operation_xyz
'x,y,z'
loop_
_atom_site_label
_atom_site_type_symbol
_atom_site_fract_x
_atom_site_fract_y
_atom_site_fract_z
Rb1 Rb 0.0000 0.0000 0.0000
Rb2 Rb 0.0000 0.5000 0.2500
Rb3 Rb 0.5000 0.0000 0.7500
Rb4 Rb 0.5000 0.5000 0.5000
Zn1 Zn 0.0000 0.0000 0.5000
Zn2 Zn 0.0000 0.5000 0.7500
Zn3 Zn 0.5000 0.0000 0.2500
Zn4 Zn 0.5000 0.5000 0.0000
Sn1 Sn 0.0445 0.2500 0.6250
Sn2 Sn 0.2500 0.5445 0.8750
Sn3 Sn 0.2500 0.9555 0.3750
Sn4 Sn 0.4555 0.2500 0.1250
Sn5 Sn 0.5445 0.7500 0.1250
Sn6 Sn 0.7500 0.0445 0.3750
Sn7 Sn 0.7500 0.4555 0.8750
Sn8 Sn 0.9555 0.7500 0.6250
# formation enthalpy at 0 K = 0.06 eV/atom


# 5
# Pu3NiP2 PBE relaxed
data_Pu3NiP2
_chemical_formula_sum 'Pu12 Ni4 P8'
_cell_length_a 11.4803
_cell_length_b 3.8558
_cell_length_c 10.0255
_cell_angle_alpha 90.00
_cell_angle_beta 90.00
_cell_angle_gamma 90.00
_space_group_name_H-M_alt 'P 1'
_space_group_IT_number 1
loop_
_space_group_symop_operation_xyz
'x,y,z'
loop_
_atom_site_label
_atom_site_type_symbol
_atom_site_fract_x
_atom_site_fract_y
_atom_site_fract_z
Pu1 Pu 0.0507 0.2500 0.1016
Pu2 Pu 0.1306 0.7500 0.5813
Pu3 Pu 0.2037 0.2500 0.7518
Pu4 Pu 0.2963 0.7500 0.2517
Pu5 Pu 0.3694 0.2500 0.0813
Pu6 Pu 0.4493 0.7500 0.6016
Pu7 Pu 0.5507 0.2500 0.3984
Pu8 Pu 0.6306 0.7500 0.9187
Pu9 Pu 0.7037 0.2500 0.7482
Pu10 Pu 0.7963 0.7500 0.2482
Pu11 Pu 0.8694 0.2500 0.4187
Pu12 Pu 0.9493 0.7500 0.8984
Ni1 Ni 0.1305 0.2500 0.3660
Ni2 Ni 0.3695 0.7500 0.8660
Ni3 Ni 0.6305 0.2500 0.1340
Ni4 Ni 0.8695 0.7500 0.6340
P1 P 0.0372 0.7500 0.3106
P2 P 0.1976 0.7500 0.9752
P3 P 0.3024 0.2500 0.4752
P4 P 0.4628 0.2500 0.8106
P5 P 0.5372 0.7500 0.1894
P6 P 0.6976 0.7500 0.5248
P7 P 0.8024 0.2500 0.0248
P8 P 0.9628 0.2500 0.6894
# formation enthalpy at 0 K = -0.78 eV/atom


# 6
# La5TlIn3 PBE relaxed
data_La5TlIn3
_chemical_formula_sum 'La10 Tl2 In6'
_cell_length_a 9.8509
_cell_length_b 9.8509
_cell_length_c 6.8944
_cell_angle_alpha 90.00
_cell_angle_beta 90.00
_cell_angle_gamma 120.00
_space_group_name_H-M_alt 'P 1'
_space_group_IT_number 1
loop_
_space_group_symop_operation_xyz
'x,y,z'
loop_
_atom_site_label
_atom_site_type_symbol
_atom_site_fract_x
_atom_site_fract_y
_atom_site_fract_z
La1 La 0.0000 0.2964 0.2500
La2 La 0.0000 0.7036 0.7500
La3 La 0.2964 0.0000 0.2500
La4 La 0.2964 0.2964 0.7500
La5 La 0.3333 0.6667 0.0000
La6 La 0.3333 0.6667 0.5000
La7 La 0.6667 0.3333 0.0000
La8 La 0.6667 0.3333 0.5000
La9 La 0.7036 0.0000 0.7500
La10 La 0.7036 0.7036 0.2500
Tl1 Tl 0.0000 0.0000 0.0000
Tl2 Tl 0.0000 0.0000 0.5000
In1 In 0.0000 0.3662 0.7500
In2 In 0.0000 0.6338 0.2500
In3 In 0.3662 0.0000 0.7500
In4 In 0.3662 0.3662 0.2500
In5 In 0.6338 0.0000 0.2500
In6 In 0.6338 0.6338 0.7500
# formation enthalpy at 0 K = -0.43 eV/atom


# 7
# KPd6Pb4 PBE relaxed
data_KPd6Pb4
_chemical_formula_sum 'K1 Pd6 Pb4'
_cell_length_a 7.9020
_cell_length_b 7.9020
_cell_length_c 4.4251
_cell_angle_alpha 90.00
_cell_angle_beta 90.00
_cell_angle_gamma 120.00
_space_group_name_H-M_alt 'P 1'
_space_group_IT_number 1
loop_
_space_group_symop_operation_xyz
'x,y,z'
loop_
_atom_site_label
_atom_site_type_symbol
_atom_site_fract_x
_atom_site_fract_y
_atom_site_fract_z
K1 K 0.0000 0.0000 0.0000
Pd1 Pd 0.2090 0.4180 0.5000
Pd2 Pd 0.2090 0.7910 0.5000
Pd3 Pd 0.5409 0.0818 0.0000
Pd4 Pd 0.5409 0.4591 0.0000
Pd5 Pd 0.5820 0.7910 0.5000
Pd6 Pd 0.9182 0.4591 0.0000
Pb1 Pb 0.3333 0.6667 0.0000
Pb2 Pb 0.3825 0.1913 0.5000
Pb3 Pb 0.8087 0.1913 0.5000
Pb4 Pb 0.8087 0.6175 0.5000
# formation enthalpy at 0 K = -0.23 eV/atom


# 8
# ZrIn2Ge2 PBE relaxed
data_ZrIn2Ge2
_chemical_formula_sum 'Zr2 In4 Ge4'
_cell_length_a 7.3296
_cell_length_b 7.3296
_cell_length_c 4.0192
_cell_angle_alpha 90.00
_cell_angle_beta 90.00
_cell_angle_gamma 90.00
_space_group_name_H-M_alt 'P 1'
_space_group_IT_number 1
loop_
_space_group_symop_operation_xyz
'x,y,z'
loop_
_atom_site_label
_atom_site_type_symbol
_atom_site_fract_x
_atom_site_fract_y
_atom_site_fract_z
Zr1 Zr 0.0000 0.0000 0.0000
Zr2 Zr 0.5000 0.5000 0.0000
In1 In 0.1670 0.3330 0.5000
In2 In 0.3330 0.8330 0.5000
In3 In 0.6670 0.1670 0.5000
In4 In 0.8330 0.6670 0.5000
Ge1 Ge 0.1374 0.6374 0.0000
Ge2 Ge 0.3626 0.1374 0.0000
Ge3 Ge 0.6374 0.8626 0.0000
Ge4 Ge 0.8626 0.3626 0.0000
# formation enthalpy at 0 K = -0.05 eV/atom


# 9
# SiTc2Ru PBE relaxed
data_SiTc2Ru
_chemical_formula_sum 'Si1 Tc2 Ru1'
_cell_length_a 2.7730
_cell_length_b 3.9894
_cell_length_c 5.1510
_cell_angle_alpha 90.00
_cell_angle_beta 102.22
_cell_angle_gamma 90.00
_space_group_name_H-M_alt 'P 1'
_space_group_IT_number 1
loop_
_space_group_symop_operation_xyz
'x,y,z'
loop_
_atom_site_label
_atom_site_type_symbol
_atom_site_fract_x
_atom_site_fract_y
_atom_site_fract_z
Si1 Si 0.0000 0.0000 0.0000
Tc1 Tc 0.4219 0.5000 0.2388
Tc2 Tc 0.5781 0.5000 0.7612
Ru1 Ru 0.0000 0.0000 0.5000
# ΔE_f (raw) = -45 kJ/mol of formula units


# 10
# Pm6Sm12Pb PBE relaxed
data_Pm6Sm12Pb
_chemical_formula_sum 'Pm6 Sm12 Pb1'
_cell_length_a 8.7772
_cell_length_b 8.7772
_cell_length_c 8.7772
_cell_angle_alpha 97.68
_cell_angle_beta 97.68
_cell_angle_gamma 97.68
_space_group_name_H-M_alt 'P 1'
_space_group_IT_number 1
loop_
_space_group_symop_operation_xyz
'x,y,z'
loop_
_atom_site_label
_atom_site_type_symbol
_atom_site_fract_x
_atom_site_fract_y
_atom_site_fract_z
Pm1 Pm 0.0925 0.3652 0.3661
Pm2 Pm 0.3652 0.3661 0.0925
Pm3 Pm 0.3661 0.0924 0.3652
Pm4 Pm 0.6339 0.9075 0.6348
Pm5 Pm 0.6348 0.6339 0.9076
Pm6 Pm 0.9075 0.6348 0.6339
Sm1 Sm 0.0804 0.0801 0.6721
Sm2 Sm 0.0801 0.6721 0.0804
Sm3 Sm 0.2406 0.5007 0.7594
Sm4 Sm 0.2406 0.7594 0.4993
Sm5 Sm 0.3279 0.9196 0.9199
Sm6 Sm 0.4993 0.2406 0.7594
Sm7 Sm 0.5007 0.7594 0.2406
Sm8 Sm 0.6721 0.0804 0.0801
Sm9 Sm 0.7594 0.2406 0.5007
Sm10 Sm 0.7594 0.4993 0.2406
Sm11 Sm 0.9199 0.3279 0.9196
Sm12 Sm 0.9196 0.9199 0.3279
Pb1 Pb 0.5000 0.5000 0.5000
# formation enthalpy at 0 K = 0.07 eV/atom
# polymorph energy (0 for the lowest one) = 0.019 eV/atom


Theoretical density, record by record: 6.54 2.74 7.34 4.13 12.76 7.13 10.45 7.17 9.70 7.29 g/cm³